# 1
Entry from Alexandria via LeMat-Bulk: crystalline LaTl at its relaxed geometry (GGA-PBE).

Unit cell a=5.6186 b=5.6186 c=5.6186 alpha=60.00 beta=60.00 gamma=60.00
Closest atoms and distances in Å follow each position.
Element x y z (fractional)
La1 0.0000 0.0000 0.0000  4 La 3.44, 4 Tl 3.44
La2 0.2500 0.2500 0.2500  4 Tl 3.44, 4 La 3.44
Tl1 0.5000 0.5000 0.5000  4 Tl 3.44, 4 La 3.44
Tl2 0.7500 0.7500 0.7500  4 Tl 3.44, 4 La 3.44

## Properties
Crystal system   cubic
DFT formation energy   0 meV per atom
Magnetic moment   0.0 μB per formula unit
Raw total energy   -3.65 eV per atom

---

# 2
Entry from Alexandria via LeMat-Bulk: crystalline Ca2SeBr at its relaxed geometry (GGA-PBE).

Unit cell a=5.6936 b=5.6936 c=4.0088 alpha=72.05 beta=72.05 gamma=91.75
Closest atoms and distances in Å follow each position.
Element x y z (fractional)
Ca1 0.0000 0.0000 0.0000  2 Se 2.93, 2 Br 2.93
Ca2 0.5000 0.5000 0.0000  2 Br 2.93, 2 Se 2.93
Se1 0.5000 0.0000 0.5000  4 Ca 2.93
Br1 0.0000 0.5000 0.5000  4 Ca 2.93

## Properties
Formation energy without anion corrections   -1391 meV per atom
Crystal system   monoclinic
Magnetic moment   0.0 μB per formula unit
Raw total energy   -3.68 eV per atom

---

# 3
Entry from Alexandria via LeMat-Bulk: crystalline ErSi2NiRu at its relaxed geometry (GGA-PBE).

Unit cell a=3.9615 b=3.9615 c=5.7135 alpha=110.28 beta=110.28 gamma=90.00
Closest atoms and distances in Å follow each position.
Element x y z (fractional)
Er1 0.0000 0.0000 0.0000  8 Si 3.06, 4 Ni 3.18, 4 Ru 3.18
Si1 0.6227 0.6227 0.2454  2 Ru 2.35, 2 Ni 2.35, 1 Si 2.44
Si2 0.3773 0.3773 0.7546  2 Ni 2.35, 2 Ru 2.35, 1 Si 2.44
Ni1 0.7500 0.2500 0.5000  4 Si 2.35
Ru1 0.2500 0.7500 0.5000  4 Si 2.35

## Properties
Formation energy without anion corrections   -867 meV per atom
Crystal system   tetragonal
Magnetic moment   0.0 μB per formula unit
Raw total energy   -6.96 eV per atom